Entry 1:
## KInNi3 (PBEsol)

Data for a relaxed structure of KInNi3.

a b c (Å): 4.7709 4.7709 4.7709
angles (deg): 90.00 90.00 90.00
Each line ends with the local moment (μB).
Sites, in units of the cell vectors:
Ni 0.0000 0.5000 0.0000  0.10
Ni 0.0000 0.0000 0.5000  0.10
Ni 0.5000 0.0000 0.0000  0.10
K 0.5000 0.5000 0.5000  0.00
In 0.0000 0.0000 0.0000  -0.01

Total energy = -17.53 eV/cell
DOS at the Fermi energy = 1.6024 states/eV per atom
Density = 5.046 g/cm3
E_form = 1.011 eV per atom

Entry 2:
## La3InRu (PBEsol)

Data for a relaxed structure of La3InRu.

a b c (Å): 5.8625 7.4834 7.4834
angles (deg): 120.00 90.00 90.00
Sites, in units of the cell vectors:
Ru 0.0000 0.0000 0.0000
Ru 0.5000 0.0000 0.0000
La 0.7500 0.6366 0.8183
La 0.2500 0.8183 0.1817
La 0.2500 0.3634 0.1817
La 0.7500 0.1817 0.8183
La 0.2500 0.8183 0.6366
La 0.7500 0.1817 0.3634
In 0.7500 0.6667 0.3333
In 0.2500 0.3333 0.6667

Total energy = -62.24 eV/cell
DOS at the Fermi energy = 0.7430 states/eV per atom
Density = 7.389 g/cm3
E_form = -0.385 eV per atom

Entry 3:
## HgPbAu2 (PBEsol)

Data for a relaxed structure of HgPbAu2.

a b c (Å): 3.6662 4.8970 5.4490
angles (deg): 104.63 90.00 111.98
Sites, in units of the cell vectors:
Pb 0.7411 0.4822 0.2226
Au 0.9925 0.9850 0.9698
Au 0.2554 0.5109 0.7602
Hg 0.5109 0.0219 0.5473

Total energy = -12.28 eV/cell
DOS at the Fermi energy = 0.2910 states/eV per atom
Density = 15.253 g/cm3
E_form = 0.033 eV per atom

Entry 4:
## Mn2SbF (PBEsol)

Data for a relaxed structure of Mn2SbF.

a b c (Å): 4.3794 4.3794 4.3794
angles (deg): 60.00 60.00 60.00
Each line ends with the local moment (μB).
Sites, in units of the cell vectors:
Sb 0.5000 0.5000 0.5000  -0.17
Mn 0.2500 0.2500 0.2500  3.31
Mn 0.7500 0.7500 0.7500  3.31
F 0.0000 0.0000 0.0000  0.10

Total energy = -26.63 eV/cell
Raw formation energy = -0.155 eV per atom
DOS at the Fermi energy = 0.8174 states/eV per atom
Density = 7.007 g/cm3

Entry 5:
## TaTc3Ge (PBEsol)

Data for a relaxed structure of TaTc3Ge.

a b c (Å): 4.4123 4.4123 4.4123
angles (deg): 90.00 90.00 90.00
Sites, in units of the cell vectors:
Ge 0.0000 0.0000 0.0000
Tc 0.0000 0.5000 0.0000
Tc 0.0000 0.0000 0.5000
Tc 0.5000 0.0000 0.0000
Ta 0.5000 0.5000 0.5000

Total energy = -45.86 eV/cell
DOS at the Fermi energy = 1.4879 states/eV per atom
Density = 10.586 g/cm3
E_form = 1.086 eV per atom

Entry 6:
## Tc3Hg (PBEsol)

Data for a relaxed structure of Tc3Hg.

a b c (Å): 5.1441 5.1441 5.1441
angles (deg): 90.00 90.00 90.00
Each line ends with the local moment (μB).
Sites, in units of the cell vectors:
Hg 0.0000 0.0000 0.0000  0.09
Tc 0.0000 0.0000 0.5000  3.18
Tc 0.0000 0.5000 0.0000  3.18
Tc 0.5000 0.0000 0.0000  3.18

Total energy = -19.35 eV/cell
DOS at the Fermi energy = 1.6548 states/eV per atom
Density = 6.034 g/cm3
E_form = 3.754 eV per atom

Entry 7:
## Sc2Tc (PBEsol)

Data for a relaxed structure of Sc2Tc.

a b c (Å): 5.3895 5.3895 5.3895
angles (deg): 104.57 104.57 119.80
Sites, in units of the cell vectors:
Sc 0.6700 0.8300 0.5000
Sc 0.8300 0.3300 0.1599
Sc 0.1700 0.6700 0.8401
Sc 0.3300 0.1700 0.5000
Tc 0.7500 0.7500 0.0000
Tc 0.2500 0.2500 0.0000

Total energy = -49.68 eV/cell
DOS at the Fermi energy = 1.0236 states/eV per atom
Density = 5.310 g/cm3
E_form = -0.122 eV per atom

Entry 8:
## Hf2AlGa2 (PBEsol)

Data for a relaxed structure of Hf2AlGa2.

a b c (Å): 4.0441 6.6785 6.6785
angles (deg): 90.00 90.00 90.00
Sites, in units of the cell vectors:
Hf 0.5000 0.1758 0.6758
Hf 0.5000 0.6758 0.8242
Hf 0.5000 0.8242 0.3242
Hf 0.5000 0.3242 0.1758
Al 0.0000 0.0000 0.0000
Al 0.0000 0.5000 0.5000
Ga 0.0000 0.3707 0.8707
Ga 0.0000 0.8707 0.6293
Ga 0.0000 0.6293 0.1293
Ga 0.0000 0.1293 0.3707

Total energy = -68.53 eV/cell
DOS at the Fermi energy = 0.3293 states/eV per atom
Density = 9.637 g/cm3
E_form = -0.498 eV per atom

Entry 9:
## MnGaTe2N (PBEsol)

Data for a relaxed structure of MnGaTe2N.

a b c (Å): 3.4514 5.6603 5.6603
angles (deg): 90.00 90.00 90.00
Each line ends with the local moment (μB).
Sites, in units of the cell vectors:
Mn 0.5000 0.5000 0.5000  4.32
Te 0.0000 0.0000 0.5000  -0.01
Te 0.0000 0.5000 0.0000  -0.01
Ga 0.0000 0.0000 0.0000  0.01
N 0.5000 0.0000 0.0000  0.03

Total energy = -24.93 eV/cell
Raw formation energy = 0.749 eV per atom
DOS at the Fermi energy = 0.7748 states/eV per atom
Density = 5.915 g/cm3

Entry 10:
## CsSrH2 (PBEsol)

Data for a relaxed structure of CsSrH2.

a b c (Å): 5.0306 5.0306 5.0306
angles (deg): 60.00 60.00 60.00
Sites, in units of the cell vectors:
Cs 0.5000 0.5000 0.5000
Sr 0.0000 0.0000 0.0000
H 0.2500 0.2500 0.2500
H 0.7500 0.7500 0.7500

Total energy = -8.91 eV/cell
DOS at the Fermi energy = 0.4615 states/eV per atom
Density = 4.105 g/cm3

Entry 11:
## Sb2Te3 (PBEsol)

Data for a relaxed structure of Sb2Te3.

a b c (Å): 3.2756 3.2756 15.6756
angles (deg): 90.00 90.00 120.00
Sites, in units of the cell vectors:
Sb 0.0000 0.0000 0.2011
Sb 0.0000 0.0000 0.7989
Te 0.0000 0.0000 0.3920
Te 0.0000 0.0000 0.0000
Te 0.0000 0.0000 0.6080

Total energy = -19.03 eV/cell
Raw formation energy = 0.133 eV per atom
DOS at the Fermi energy = 0.6359 states/eV per atom
Density = 7.140 g/cm3

Entry 12:
## BaSr4Ti5O15 (PBEsol)

Data for a relaxed structure of BaSr4Ti5O15.

a b c (Å): 3.9160 3.9160 19.5823
angles (deg): 90.00 90.00 90.00
Sites, in units of the cell vectors:
Ba 0.0000 0.0000 0.0000
Sr 0.0000 0.0000 0.2022
Sr 0.0000 0.0000 0.4007
Sr 0.0000 0.0000 0.5993
Sr 0.0000 0.0000 0.7978
Ti 0.5000 0.5000 0.1031
Ti 0.5000 0.5000 0.3014
Ti 0.5000 0.5000 0.5000
Ti 0.5000 0.5000 0.6986
Ti 0.5000 0.5000 0.8969
O 0.5000 0.5000 0.0000
O 0.5000 0.5000 0.2022
O 0.5000 0.5000 0.4007
O 0.5000 0.5000 0.5993
O 0.5000 0.5000 0.7978
O 0.5000 0.0000 0.1046
O 0.5000 0.0000 0.3016
O 0.5000 0.0000 0.5000
O 0.5000 0.0000 0.6984
O 0.5000 0.0000 0.8954
O 0.0000 0.5000 0.1046
O 0.0000 0.5000 0.3016
O 0.0000 0.5000 0.5000
O 0.0000 0.5000 0.6984
O 0.0000 0.5000 0.8954

Total energy = -209.48 eV/cell
Raw formation energy = -3.185 eV per atom
DOS at the Fermi energy = 0.0000 states/eV per atom
Density = 5.348 g/cm3

Which of these has the lowest total energy? BaSr4Ti5O15